# 1
! FeTc2B2 (PBE-GGA, optimized geometry); values from VASP
! - Space group: P4/mbm, No. 127
! - E: -8.8179 eV per atom
! - E_form: -0.3080 eV/atom
! - Crystal system: tetragonal
&SYSTEM
  ibrav = 0, nat = 10, ntyp = 3
/
ATOMIC_SPECIES
Tc 98.00 Tc.upf
B 10.81 B.upf
Fe 55.84 Fe.upf
ATOMIC_POSITIONS crystal
Tc 0.178 0.678 0.500
Tc 0.678 0.822 0.500
Tc 0.822 0.322 0.500
Tc 0.322 0.178 0.500
B 0.880 0.620 0.000
B 0.620 0.120 0.000
B 0.120 0.380 0.000
B 0.380 0.880 0.000
Fe 0.500 0.500 0.000
Fe 0.000 0.000 0.000
CELL_PARAMETERS angstrom
5.429 0.000 0.000
0.000 5.429 0.000
0.000 0.000 3.392

# 2
! Fe2TcB (PBE-GGA, optimized geometry); values from VASP
! - Space group: I-42d, No. 122
! - E: -8.0793 eV per atom
! - E_form: 0.4129 eV/atom
! - Crystal system: tetragonal
&SYSTEM
  ibrav = 0, nat = 8, ntyp = 3
/
ATOMIC_SPECIES
Fe 55.84 Fe.upf
B 10.81 B.upf
Tc 98.00 Tc.upf
ATOMIC_POSITIONS crystal
Fe 0.375 0.407 0.750
Fe 0.875 0.843 0.750
Fe 0.593 0.125 0.250
Fe 0.157 0.625 0.250
B 0.250 0.750 0.500
B 0.500 0.500 0.000
Tc 0.000 0.000 0.000
Tc 0.750 0.250 0.500
CELL_PARAMETERS angstrom
-2.551 -1.688 -1.128
1.999 -1.772 -1.869
0.634 -7.262 4.720

# 3
! FeTcB (PBE-GGA, optimized geometry); values from VASP
! - Space group: P2_1/m, No. 11
! - E: -8.6473 eV per atom
! - E_form: -0.1453 eV/atom
! - Crystal system: monoclinic
&SYSTEM
  ibrav = 0, nat = 6, ntyp = 3
/
ATOMIC_SPECIES
Fe 55.84 Fe.upf
Tc 98.00 Tc.upf
B 10.81 B.upf
ATOMIC_POSITIONS crystal
Fe 0.750 0.885 0.678
Fe 0.250 0.115 0.322
Tc 0.750 0.606 0.238
Tc 0.250 0.394 0.762
B 0.250 0.880 0.967
B 0.750 0.120 0.033
CELL_PARAMETERS angstrom
2.926 0.000 0.000
0.000 4.347 0.337
0.000 0.068 4.874

# 4
! FeTcB (PBE-GGA, optimized geometry); values from VASP
! - Space group: Cmcm, No. 63
! - E: -8.7215 eV per atom
! - E_form: -0.2194 eV/atom
! - Crystal system: orthorhombic
&SYSTEM
  ibrav = 0, nat = 6, ntyp = 3
/
ATOMIC_SPECIES
Tc 98.00 Tc.upf
Fe 55.84 Fe.upf
B 10.81 B.upf
ATOMIC_POSITIONS crystal
Tc 0.750 0.913 0.825
Tc 0.250 0.087 0.175
Fe 0.250 0.294 0.588
Fe 0.750 0.706 0.412
B 0.250 0.463 0.925
B 0.750 0.537 0.075
CELL_PARAMETERS angstrom
-2.068 1.115 1.875
-2.178 -0.655 -2.013
0.308 -6.007 3.913

# 5
! FeTc2B2 (PBE-GGA, optimized geometry); values from VASP
! - Space group: Cmmm, No. 65
! - E: -8.7638 eV per atom
! - E_form: -0.2539 eV/atom
! - Crystal system: orthorhombic
&SYSTEM
  ibrav = 0, nat = 5, ntyp = 3
/
ATOMIC_SPECIES
Tc 98.00 Tc.upf
B 10.81 B.upf
Fe 55.84 Fe.upf
ATOMIC_POSITIONS crystal
Tc 0.500 0.639 0.278
Tc 0.500 0.361 0.722
B 0.000 0.796 0.592
B 0.000 0.204 0.408
Fe 0.000 0.000 0.000
CELL_PARAMETERS angstrom
3.080 0.000 0.000
0.000 3.059 0.000
0.000 -1.529 5.507

# 6
! Fe2TcB (PBE-GGA, optimized geometry); values from VASP
! - Space group: P4/mmm, No. 123
! - E: -8.5444 eV per atom
! - E_form: -0.0522 eV/atom
! - Crystal system: tetragonal
&SYSTEM
  ibrav = 0, nat = 4, ntyp = 3
/
ATOMIC_SPECIES
Fe 55.84 Fe.upf
B 10.81 B.upf
Tc 98.00 Tc.upf
ATOMIC_POSITIONS crystal
Fe 0.000 0.000 0.193
Fe 0.000 0.000 0.807
B 0.500 0.500 0.000
Tc 0.500 0.500 0.500
CELL_PARAMETERS angstrom
2.561 0.000 0.000
0.000 2.561 0.000
0.000 0.000 6.185

# 7
! Fe2TcB2 (PBE-GGA, optimized geometry); values from VASP
! - Space group: P4/mbm, No. 127
! - E: -8.2683 eV per atom
! - E_form: -0.1391 eV/atom
! - Crystal system: tetragonal
&SYSTEM
  ibrav = 0, nat = 10, ntyp = 3
/
ATOMIC_SPECIES
B 10.81 B.upf
Tc 98.00 Tc.upf
Fe 55.84 Fe.upf
ATOMIC_POSITIONS crystal
B 0.875 0.625 0.000
B 0.625 0.125 0.000
B 0.375 0.875 0.000
B 0.125 0.375 0.000
Tc 0.000 0.000 0.000
Tc 0.500 0.500 0.000
Fe 0.341 0.159 0.500
Fe 0.659 0.841 0.500
Fe 0.159 0.659 0.500
Fe 0.841 0.341 0.500
CELL_PARAMETERS angstrom
5.907 0.000 0.000
0.000 5.907 0.000
0.000 0.000 2.651

# 8
! FeTc12B6 (PBE-GGA, optimized geometry); values from VASP
! - Space group: Im-3, No. 204
! - E: -9.3622 eV per atom
! - E_form: -0.2612 eV/atom
! - Crystal system: cubic
&SYSTEM
  ibrav = 0, nat = 19, ntyp = 3
/
ATOMIC_SPECIES
B 10.81 B.upf
Tc 98.00 Tc.upf
Fe 55.84 Fe.upf
ATOMIC_POSITIONS crystal
B 0.884 0.384 0.500
B 0.116 0.616 0.500
B 0.500 0.116 0.616
B 0.616 0.500 0.116
B 0.384 0.500 0.884
B 0.500 0.884 0.384
Tc 0.519 0.815 0.704
Tc 0.815 0.296 0.111
Tc 0.704 0.889 0.185
Tc 0.111 0.815 0.296
Tc 0.481 0.185 0.296
Tc 0.704 0.519 0.815
Tc 0.185 0.296 0.481
Tc 0.296 0.111 0.815
Tc 0.185 0.704 0.889
Tc 0.889 0.185 0.704
Tc 0.815 0.704 0.519
Tc 0.296 0.481 0.185
Fe 0.000 0.000 0.000
CELL_PARAMETERS angstrom
6.589 0.000 0.000
-2.196 6.212 0.000
-2.196 -3.106 5.380

# 9
! FeTc3B2 (PBE-GGA, optimized geometry); values from VASP
! - Space group: Cmcm, No. 63
! - E: -9.0523 eV per atom
! - E_form: -0.2330 eV/atom
! - Crystal system: orthorhombic
&SYSTEM
  ibrav = 0, nat = 12, ntyp = 3
/
ATOMIC_SPECIES
Tc 98.00 Tc.upf
Fe 55.84 Fe.upf
B 10.81 B.upf
ATOMIC_POSITIONS crystal
Tc 0.250 0.916 0.084
Tc 0.750 0.580 0.083
Tc 0.750 0.084 0.916
Tc 0.250 0.420 0.917
Tc 0.250 0.083 0.580
Tc 0.750 0.917 0.420
Fe 0.250 0.576 0.424
Fe 0.750 0.424 0.576
B 0.000 0.741 0.741
B 0.500 0.741 0.741
B 0.000 0.259 0.259
B 0.500 0.259 0.259
CELL_PARAMETERS angstrom
-0.930 3.131 3.239
-4.926 -2.008 0.527
1.760 -3.367 3.761

# 10
! FeTcB3 (PBE-GGA, optimized geometry); values from VASP
! - Space group: Pm-3m, No. 221
! - E: -6.2470 eV per atom
! - E_form: 1.5252 eV/atom
! - Crystal system: cubic
&SYSTEM
  ibrav = 0, nat = 5, ntyp = 3
/
ATOMIC_SPECIES
Fe 55.84 Fe.upf
B 10.81 B.upf
Tc 98.00 Tc.upf
ATOMIC_POSITIONS crystal
Fe 0.500 0.500 0.500
B 0.000 0.000 0.500
B 0.000 0.500 0.000
B 0.500 0.000 0.000
Tc 0.000 0.000 0.000
CELL_PARAMETERS angstrom
3.959 0.000 0.000
0.000 3.959 0.000
0.000 0.000 3.959

# 11
! FeTcB (PBE-GGA, optimized geometry); values from VASP
! - Space group: Pmma, No. 51
! - E: -8.7530 eV per atom
! - E_form: -0.2509 eV/atom
! - Crystal system: orthorhombic
&SYSTEM
  ibrav = 0, nat = 18, ntyp = 3
/
ATOMIC_SPECIES
Fe 55.84 Fe.upf
B 10.81 B.upf
Tc 98.00 Tc.upf
ATOMIC_POSITIONS crystal
Fe 0.500 0.795 0.250
Fe 0.500 0.435 0.379
Fe 0.500 0.565 0.879
Fe 0.500 0.435 0.121
Fe 0.500 0.565 0.621
Fe 0.500 0.205 0.750
B 0.000 0.449 0.750
B 0.000 0.551 0.250
B 0.500 0.945 0.590
B 0.500 0.055 0.090
B 0.500 0.055 0.410
B 0.500 0.945 0.910
Tc 0.000 0.780 0.454
Tc 0.000 0.146 0.250
Tc 0.000 0.854 0.750
Tc 0.000 0.220 0.546
Tc 0.000 0.220 0.954
Tc 0.000 0.780 0.046
CELL_PARAMETERS angstrom
-0.363 -2.971 -0.490
5.351 -1.063 2.480
-4.418 -0.963 9.119

# 12
! FeTc2B (PBE-GGA, optimized geometry); values from VASP
! - Space group: I-42d, No. 122
! - E: -8.2186 eV per atom
! - E_form: 0.7494 eV/atom
! - Crystal system: tetragonal
&SYSTEM
  ibrav = 0, nat = 8, ntyp = 3
/
ATOMIC_SPECIES
B 10.81 B.upf
Tc 98.00 Tc.upf
Fe 55.84 Fe.upf
ATOMIC_POSITIONS crystal
B 0.250 0.750 0.500
B 0.500 0.500 0.000
Tc 0.875 0.843 0.750
Tc 0.375 0.407 0.750
Tc 0.593 0.125 0.250
Tc 0.157 0.625 0.250
Fe 0.000 0.000 0.000
Fe 0.750 0.250 0.500
CELL_PARAMETERS angstrom
-1.864 -2.967 0.843
2.832 -1.255 1.842
-2.218 1.458 7.928

Repeat the ninth record exactly.
! FeTc3B2 (PBE-GGA, optimized geometry); values from VASP
! - Space group: Cmcm, No. 63
! - E: -9.0523 eV per atom
! - E_form: -0.2330 eV/atom
! - Crystal system: orthorhombic
&SYSTEM
  ibrav = 0, nat = 12, ntyp = 3
/
ATOMIC_SPECIES
Tc 98.00 Tc.upf
Fe 55.84 Fe.upf
B 10.81 B.upf
ATOMIC_POSITIONS crystal
Tc 0.250 0.916 0.084
Tc 0.750 0.580 0.083
Tc 0.750 0.084 0.916
Tc 0.250 0.420 0.917
Tc 0.250 0.083 0.580
Tc 0.750 0.917 0.420
Fe 0.250 0.576 0.424
Fe 0.750 0.424 0.576
B 0.000 0.741 0.741
B 0.500 0.741 0.741
B 0.000 0.259 0.259
B 0.500 0.259 0.259
CELL_PARAMETERS angstrom
-0.930 3.131 3.239
-4.926 -2.008 0.527
1.760 -3.367 3.761

Question: The lowest E_form belongs to which entry?
Answer: number 1